No. 1
Compound: CrSi2Hg
Source: the Alexandria database
Functional: PBE
Structure: relaxed

crystal system: trigonal
formation energy without anion corrections: 274 meV/atom
total moment: 0.04 μB per atom
raw total energy: -0.181 Ha/atom
calculated density: 8.010 g/cm³

POSCAR file:
```
CrSi2Hg
1.0
1.4825 0.8559 8.4078
-1.4825 0.8559 8.4078
0.0000 -1.7118 8.4078
Cr Si Hg
1 2 1
direct
0.0000 0.0000 0.0000 Cr
0.2664 0.2664 0.2664 Si
0.7336 0.7336 0.7336 Si
0.5000 0.5000 0.5000 Hg
```

No. 2
Compound: NaCdAsRh
Source: the Alexandria database
Functional: PBE
Structure: relaxed

energy relative to the elements: -0.3643 eV per atom
crystal system: tetragonal
total moment: 0.00 μB per atom
raw total energy: -0.144 Ha/atom
calculated density: 5.829 g/cm³

POSCAR file:
```
NaCdAsRh
1.0
4.0616 0.0000 0.0000
0.0000 4.0616 0.0000
0.0000 0.0000 10.8184
Na Cd As Rh
2 2 2 2
direct
0.2500 0.2500 0.2433 Na
0.7500 0.7500 0.7567 Na
0.2500 0.7500 0.5000 Cd
0.7500 0.2500 0.5000 Cd
0.2500 0.2500 0.8692 As
0.7500 0.7500 0.1308 As
0.2500 0.7500 0.0000 Rh
0.7500 0.2500 0.0000 Rh
```

No. 3
Compound: SrV2Sb
Source: the Alexandria database
Functional: PBE
Structure: relaxed

crystal system: tetragonal
formation energy without anion corrections: 425 meV/atom
total moment: 0.27 μB per atom
raw total energy: -0.205 Ha/atom
calculated density: 4.930 g/cm³

POSCAR file:
```
SrV2Sb
1.0
-2.3074 2.3074 9.8450
2.3074 -2.3074 9.8450
2.3074 2.3074 -9.8450
Sr V Sb
2 4 2
direct
0.3750 0.6250 0.7500 Sr
0.6250 0.3750 0.2500 Sr
0.0000 0.0000 0.0000 V
0.0000 0.0000 0.5000 V
0.0000 0.5000 0.0000 V
0.5000 0.0000 0.5000 V
0.1250 0.8750 0.2500 Sb
0.8750 0.1250 0.7500 Sb
```

No. 4
Compound: SnPt2Cl
Source: the Alexandria database
Functional: PBE
Structure: relaxed

energy above the most stable polymorph in this dataset: 0.09 eV/f.u.
crystal system: tetragonal
formation energy without anion corrections: 165 meV/atom
total moment: 0.00 μB per atom
raw total energy: -0.159 Ha/atom
calculated density: 9.975 g/cm³

POSCAR file:
```
SnPt2Cl
1.0
-3.3110 3.3110 4.1327
3.3110 -3.3110 4.1327
3.3110 3.3110 -4.1327
Sn Pt Cl
2 4 2
direct
0.0000 0.0000 0.0000 Sn
0.7500 0.2500 0.5000 Sn
0.1329 0.6250 0.0079 Pt
0.3750 0.3829 0.5079 Pt
0.6171 0.1250 0.9921 Pt
0.8750 0.8671 0.4921 Pt
0.2500 0.7500 0.5000 Cl
0.5000 0.5000 0.0000 Cl
```

No. 5
Compound: La2TmGa
Source: the Alexandria database
Functional: PBE
Structure: relaxed

energy relative to the elements: -0.2322 eV per atom
energy above the most stable polymorph in this dataset: 0.00 eV/f.u.
crystal system: tetragonal
total moment: 0.00 μB per atom
raw total energy: -0.168 Ha/atom
calculated density: 7.516 g/cm³

POSCAR file:
```
La2TmGa
1.0
4.7871 0.0000 0.0000
0.0000 4.7871 0.0000
0.0000 0.0000 4.9792
La Tm Ga
2 1 1
direct
0.0000 0.5000 0.0000 La
0.5000 0.0000 0.0000 La
0.0000 0.0000 0.5000 Tm
0.5000 0.5000 0.5000 Ga
```

No. 6
Compound: Mg2SnIrO6
Source: the Alexandria database
Functional: PBE
Structure: relaxed

crystal system: monoclinic
formation energy without anion corrections: -1687 meV/atom
total moment: 0.09 μB per atom
raw total energy: -0.230 Ha/atom
calculated density: 6.867 g/cm³

POSCAR file:
```
Mg2SnIrO6
1.0
5.2967 0.0000 0.0000
0.0000 5.3946 0.0000
-5.2746 0.0000 7.7099
Mg Sn Ir O
4 2 2 12
direct
0.2486 0.0452 0.2447 Mg
0.2486 0.4548 0.7447 Mg
0.7514 0.5452 0.2553 Mg
0.7514 0.9548 0.7553 Mg
0.5000 0.0000 0.0000 Sn
0.5000 0.5000 0.5000 Sn
0.0000 0.0000 0.5000 Ir
0.0000 0.5000 0.0000 Ir
0.0986 0.1768 0.9349 O
0.0986 0.3232 0.4349 O
0.2456 0.6728 0.9242 O
0.2456 0.8272 0.4242 O
0.3767 0.0859 0.7454 O
0.3767 0.4141 0.2454 O
0.6233 0.5859 0.7546 O
0.6233 0.9141 0.2546 O
0.7544 0.1728 0.5758 O
0.7544 0.3272 0.0758 O
0.9014 0.6768 0.5651 O
0.9014 0.8232 0.0651 O
```

No. 7
Compound: TeIr2Se
Source: the Alexandria database
Functional: PBE
Structure: relaxed

energy above the most stable polymorph in this dataset: 2.65 eV/f.u.
crystal system: orthorhombic
formation energy without anion corrections: 683 meV/atom
total moment: 0.00 μB per atom
raw total energy: -0.199 Ha/atom
calculated density: 13.849 g/cm³

POSCAR file:
```
TeIr2Se
1.0
-1.4934 2.5458 4.6594
1.4934 -2.5458 4.6594
1.4934 2.5458 -4.6594
Te Ir Se
1 2 1
direct
0.0000 0.0000 0.0000 Te
0.2561 0.7561 0.5000 Ir
0.7439 0.2439 0.5000 Ir
0.5000 0.5000 0.0000 Se
```

No. 8
Compound: KSm2Pu3Se6
Source: the Alexandria database
Functional: PBE
Structure: relaxed

crystal system: monoclinic
formation energy without anion corrections: -1585 meV/atom
total moment: 0.50 μB per atom
raw total energy: -0.286 Ha/atom
calculated density: 8.033 g/cm³

POSCAR file:
```
KSm2Pu3Se6
1.0
9.1964 -2.0928 0.0000
9.1964 2.0928 0.0000
-1.8935 0.0000 8.3004
K Sm Pu Se
1 2 3 6
direct
0.0000 0.0000 0.0000 K
0.3318 0.3318 0.6616 Sm
0.6682 0.6682 0.3384 Sm
0.0000 0.0000 0.5000 Pu
0.3350 0.3350 0.1665 Pu
0.6650 0.6650 0.8335 Pu
0.1659 0.1659 0.5865 Se
0.1726 0.1726 0.0871 Se
0.4977 0.4977 0.7321 Se
0.5023 0.5023 0.2679 Se
0.8274 0.8274 0.9129 Se
0.8341 0.8341 0.4135 Se
```

No. 9
Compound: FeAu3N
Source: the Alexandria database
Functional: PBE
Structure: relaxed

energy above the most stable polymorph in this dataset: 4.99 eV/f.u.
crystal system: cubic
formation energy without anion corrections: 2018 meV/atom
total moment: 0.64 μB per atom
raw total energy: -0.121 Ha/atom
calculated density: 10.010 g/cm³

POSCAR file:
```
FeAu3N
1.0
4.7858 0.0000 0.0000
0.0000 4.7858 0.0000
0.0000 0.0000 4.7858
Fe Au N
1 3 1
direct
0.0000 0.0000 0.0000 Fe
0.0000 0.0000 0.5000 Au
0.0000 0.5000 0.0000 Au
0.5000 0.0000 0.0000 Au
0.5000 0.5000 0.5000 N
```

No. 10
Compound: SrLa2Hg2
Source: the Alexandria database
Functional: PBE
Structure: relaxed

energy relative to the elements: -0.1593 eV per atom
energy above the most stable polymorph in this dataset: 1.18 eV/f.u.
crystal system: tetragonal
total moment: 0.00 μB per atom
raw total energy: -0.095 Ha/atom
calculated density: 6.955 g/cm³

POSCAR file:
```
SrLa2Hg2
1.0
-2.8362 2.8362 5.6883
2.8362 -2.8362 5.6883
2.8362 2.8362 -5.6883
Sr La Hg
1 2 2
direct
0.0000 0.0000 0.0000 Sr
0.3637 0.3637 0.0000 La
0.6363 0.6363 0.0000 La
0.2500 0.7500 0.5000 Hg
0.7500 0.2500 0.5000 Hg
```

No. 11
Compound: AgIrAu2
Source: the Alexandria database
Functional: PBE
Structure: relaxed

energy relative to the elements: 0.3696 eV per atom
energy above the most stable polymorph in this dataset: 0.59 eV/f.u.
crystal system: tetragonal
total moment: 0.00 μB per atom
raw total energy: -0.154 Ha/atom
calculated density: 16.950 g/cm³

POSCAR file:
```
AgIrAu2
1.0
-2.0336 2.0336 4.1101
2.0336 -2.0336 4.1101
2.0336 2.0336 -4.1101
Ag Ir Au
1 1 2
direct
0.0000 0.0000 0.0000 Ag
0.7500 0.2500 0.5000 Ir
0.2500 0.7500 0.5000 Au
0.5000 0.5000 0.0000 Au
```

No. 12
Compound: Hf2ScCo2
Source: the Alexandria database
Functional: PBE
Structure: relaxed

energy relative to the elements: -0.2855 eV per atom
energy above the most stable polymorph in this dataset: 0.00 eV/f.u.
crystal system: tetragonal
total moment: 0.00 μB per atom
raw total energy: -0.308 Ha/atom
calculated density: 10.070 g/cm³

POSCAR file:
```
Hf2ScCo2
1.0
7.2234 0.0000 0.0000
0.0000 7.2234 0.0000
0.0000 0.0000 3.2856
Hf Sc Co
4 2 4
direct
0.1593 0.3407 0.0000 Hf
0.3407 0.8407 0.0000 Hf
0.6593 0.1593 0.0000 Hf
0.8407 0.6593 0.0000 Hf
0.0000 0.0000 0.5000 Sc
0.5000 0.5000 0.5000 Sc
0.1320 0.6320 0.5000 Co
0.3680 0.1320 0.5000 Co
0.6320 0.8680 0.5000 Co
0.8680 0.3680 0.5000 Co
```